[1]
{"formula": "UAlHg", "functional": "GGA-PBE", "state": "relaxed", "lattice_angstrom": [[-1.1427, 1.3767, 2.4176], [1.3054, -2.6950, 0.2809], [7.0175, 3.5350, 1.3040]], "species": ["Al", "Hg", "U"], "fractional_positions": [[0.3333, 0.6667, 0.6631], [0.6667, 0.3333, 0.3482], [0.0000, 0.0000, 0.9887]], "formation_energy_ev_per_atom": 0.128, "sg": "P3m1"}

---

[2]
{"formula": "UAlHg", "functional": "GGA-PBE", "state": "relaxed", "lattice_angstrom": [[2.9112, 0.0000, 0.0000], [-1.4556, 2.7277, -0.5518], [0.0000, 0.4864, 15.4161]], "species": ["U", "U", "Al", "Al", "Hg", "Hg"], "fractional_positions": [[0.5469, 0.0938, 0.9209], [0.4531, 0.9062, 0.0791], [0.2158, 0.4316, 0.2451], [0.7842, 0.5684, 0.7549], [0.7470, 0.4941, 0.4083], [0.2530, 0.5059, 0.5917]], "formation_energy_ev_per_atom": 0.109, "sg": "C2/m"}

---

[3]
{"formula": "AlV3Hg", "functional": "GGA-PBE", "state": "relaxed", "lattice_angstrom": [[4.9845, 0.0000, 0.0000], [0.0000, 4.9845, 0.0000], [0.0000, 0.0000, 4.9845]], "species": ["V", "V", "V", "Al", "Hg"], "fractional_positions": [[0.5000, 0.0000, 0.0000], [0.0000, 0.0000, 0.5000], [0.0000, 0.5000, 0.0000], [0.5000, 0.5000, 0.5000], [0.0000, 0.0000, 0.0000]], "formation_energy_ev_per_atom": 1.709, "sg": "Pm-3m"}

---

[4]
{"formula": "AlV3Hg", "functional": "GGA-PBE", "state": "relaxed", "lattice_angstrom": [[-1.4846, -3.8310, 1.8929], [3.1710, 0.3555, 3.2066], [-2.8643, 2.3792, 2.5688]], "species": ["V", "V", "V", "Al", "Hg"], "fractional_positions": [[0.5000, 0.0000, 0.0000], [0.0000, 0.5000, 0.0000], [0.0000, 0.0000, 0.5000], [0.0000, 0.0000, 0.0000], [0.5000, 0.5000, 0.5000]], "formation_energy_ev_per_atom": 1.143, "sg": "Pm-3m"}